(1)
Computed, not measured: a relaxed Pm6Te3PtS2 crystal at the GGA-PBE level of DFT.

Results
**Density**: 7.49 Mg/m³
**SG**: No. 12
**VASP energy**: -71.16 eV for the cell shown

Cell and atoms, written as extended XYZ:
```
12
Lattice="-1.534 -1.646 3.518 -3.540 -6.563 -4.615 9.430 -2.215 0.597" Properties=species:S:1:pos:R:3 pbc="T T T"
Pm 2.677 -7.909 -2.534
Pm 0.283 -5.563 -0.001
Pm 1.679 -2.515 2.034
Pm -0.678 -1.537 -1.015
Pm 5.035 -8.887 0.515
Pm 4.074 -4.861 -0.499
Te -2.537 -4.105 -0.548
Te 4.409 -3.966 2.545
Te -0.053 -6.459 -3.045
Pt -0.767 -0.823 1.759
S 2.629 -7.213 0.250
S 1.728 -3.212 -0.750
```

(2)
Computed, not measured: a relaxed PmThPtS crystal at the GGA-PBE level of DFT.

Results
**Density**: 9.82 Mg/m³
**SG**: No. 160
**VASP energy**: -28.26 eV for the cell shown

Cell and atoms, written as extended XYZ:
```
4
Lattice="-3.683 0.439 -1.697 -1.083 -2.343 -3.159 -4.227 -5.457 2.863" Properties=species:S:1:pos:R:3 pbc="T T T"
Pm -7.192 -6.339 -0.735
Th -2.669 -2.610 0.217
Pt -5.229 -2.751 -4.069
S -4.934 -4.481 -0.252
```